Here is a geometry-optimized PmGdLuIn structure from Alexandria via LeMat-Bulk. Energies are from PBE.

abc: 7.745 7.745 7.745
angles: 90.00 90.00 90.00
Atoms (fractional coordinates):
Pm  0.000  0.000  0.000
Pm  0.000  0.500  0.500
Pm  0.500  0.000  0.500
Pm  0.500  0.500  0.000
Gd  0.000  0.000  0.500
Gd  0.000  0.500  0.000
Gd  0.500  0.000  0.000
Gd  0.500  0.500  0.500
Lu  0.250  0.250  0.250
Lu  0.250  0.750  0.750
Lu  0.750  0.250  0.750
Lu  0.750  0.750  0.250
In  0.250  0.250  0.750
In  0.250  0.750  0.250
In  0.750  0.250  0.250
In  0.750  0.750  0.750

Calculated values
**Total moment**: 8.16 μB per formula unit
**Formation energy from the elements**: -0.17 eV/atom
**V**: 464.6 Å³/cell
**ρ**: 8.46 g cm⁻³
**Space-group type**: No. 216

***

Here is a geometry-optimized SiRh2Cl structure from Alexandria via LeMat-Bulk. Energies are from PBE.

abc: 2.951 4.800 4.151
angles: 90.00 90.00 90.00
Atoms (fractional coordinates):
Si  0.000  0.000  0.000
Rh  0.000  0.500  0.194
Rh  0.500  0.000  0.491
Cl  0.500  0.500  0.685

Calculated values
**Total moment**: 0.00 μB per formula unit
**Formation energy from raw total energies**: -9.5 meV per atom
**V**: 58.8 Å³/cell
**Relative energy among the computed polymorphs**: 433.6 meV/atom
**ρ**: 7.61 g cm⁻³
**Space-group type**: No. 25

***

Here is a geometry-optimized CaCd4Hg2 structure from Alexandria via LeMat-Bulk. Energies are from PBE.

abc: 5.647 5.650 11.647
angles: 90.00 103.95 90.00
Atoms (fractional coordinates):
Ca  0.000  0.000  0.000
Ca  0.500  0.500  0.000
Cd  0.000  0.250  0.500
Cd  0.000  0.750  0.500
Cd  0.145  0.000  0.286
Cd  0.355  0.500  0.714
Cd  0.500  0.250  0.500
Cd  0.500  0.750  0.500
Cd  0.645  0.500  0.286
Cd  0.855  0.000  0.714
Hg  0.081  0.500  0.158
Hg  0.419  0.000  0.842
Hg  0.581  0.000  0.158
Hg  0.919  0.500  0.842

Calculated values
**Total moment**: 0.00 μB per formula unit
**Formation energy from the elements**: -0.12 eV/atom
**V**: 360.6 Å³/cell
**Relative energy among the computed polymorphs**: 53.0 meV/atom
**ρ**: 8.20 g cm⁻³
**Space-group type**: No. 12

***

Here is a geometry-optimized NpTe4 structure from Alexandria via LeMat-Bulk. Energies are from PBE.

abc: 5.817 5.817 5.817
angles: 90.00 90.00 90.00
Atoms (fractional coordinates):
Np  0.000  0.000  0.000
Te  0.000  0.000  0.500
Te  0.000  0.500  0.000
Te  0.500  0.000  0.000
Te  0.500  0.500  0.500

Calculated values
**Total moment**: 0.01 μB per formula unit
**Formation energy from raw total energies**: 224.3 meV per atom
**V**: 196.8 Å³/cell
**ρ**: 6.31 g cm⁻³
**Space-group type**: No. 221

***

Here is a geometry-optimized Co2SiIr structure from Alexandria via LeMat-Bulk. Energies are from PBE.

abc: 3.573 3.573 3.697
angles: 90.00 90.00 90.00
Atoms (fractional coordinates):
Co  0.000  0.500  0.000
Co  0.500  0.000  0.000
Si  0.000  0.000  0.500
Ir  0.500  0.500  0.500

Calculated values
**Total moment**: 0.89 μB per formula unit
**Formation energy from raw total energies**: -249.1 meV per atom
**V**: 47.2 Å³/cell
**ρ**: 11.90 g cm⁻³
**Space-group type**: No. 123

***

Here is a geometry-optimized LiLa4Re structure from Alexandria via LeMat-Bulk. Energies are from PBE.

abc: 6.261 6.261 6.261
angles: 60.00 60.00 60.00
Atoms (fractional coordinates):
Li  0.000  0.000  0.000
La  0.377  0.377  0.377
La  0.377  0.377  0.869
La  0.377  0.869  0.377
La  0.869  0.377  0.377
Re  0.750  0.750  0.750

Calculated values
**Total moment**: 0.12 μB per formula unit
**Formation energy from the elements**: 0.96 eV/atom
**V**: 173.6 Å³/cell
**ρ**: 7.16 g cm⁻³
**Space-group type**: No. 216

***

Here is a geometry-optimized MgZnGa6 structure from Alexandria via LeMat-Bulk. Energies are from PBE.

abc: 4.204 4.204 8.274
angles: 90.00 90.00 90.00
Atoms (fractional coordinates):
Mg  0.000  0.000  0.000
Zn  0.000  0.000  0.500
Ga  0.000  0.500  0.258
Ga  0.000  0.500  0.742
Ga  0.500  0.000  0.258
Ga  0.500  0.000  0.742
Ga  0.500  0.500  0.000
Ga  0.500  0.500  0.500

Calculated values
**Total moment**: 0.00 μB per formula unit
**Formation energy from the elements**: -0.02 eV/atom
**V**: 146.2 Å³/cell
**Relative energy among the computed polymorphs**: 0.0 meV/atom
**ρ**: 5.77 g cm⁻³
**Space-group type**: No. 123

***

Here is a geometry-optimized BaAc2Bi structure from Alexandria via LeMat-Bulk. Energies are from PBE.

abc: 5.441 5.441 5.397
angles: 90.00 90.00 90.00
Atoms (fractional coordinates):
Ba  0.000  0.000  0.000
Ac  0.000  0.500  0.500
Ac  0.500  0.000  0.500
Bi  0.500  0.500  0.000

Calculated values
**Total moment**: 0.38 μB per formula unit
**Formation energy from the elements**: -0.31 eV/atom
**V**: 159.8 Å³/cell
**Relative energy among the computed polymorphs**: 0.0 meV/atom
**ρ**: 8.32 g cm⁻³
**Space-group type**: No. 123

***

Here is a geometry-optimized Tl5In4Ag structure from Alexandria via LeMat-Bulk. Energies are from PBE.

abc: 8.782 8.782 9.789
angles: 97.33 97.33 22.58
Atoms (fractional coordinates):
Tl  0.000  0.000  0.000
Tl  0.315  0.315  0.909
Tl  0.352  0.352  0.281
Tl  0.648  0.648  0.719
Tl  0.685  0.685  0.091
In  0.182  0.182  0.413
In  0.464  0.464  0.721
In  0.536  0.536  0.279
In  0.818  0.818  0.587
Ag  0.000  0.000  0.500

Calculated values
**Total moment**: 0.00 μB per formula unit
**Formation energy from the elements**: 0.05 eV/atom
**V**: 287.4 Å³/cell
**ρ**: 9.18 g cm⁻³
**Space-group type**: No. 12

***

Here is a geometry-optimized NaPmEuAg structure from Alexandria via LeMat-Bulk. Energies are from PBE.

abc: 7.810 7.810 7.810
angles: 90.00 90.00 90.00
Atoms (fractional coordinates):
Na  0.000  0.000  0.000
Na  0.000  0.500  0.500
Na  0.500  0.000  0.500
Na  0.500  0.500  0.000
Pm  0.250  0.250  0.750
Pm  0.250  0.750  0.250
Pm  0.750  0.250  0.250
Pm  0.750  0.750  0.750
Eu  0.250  0.250  0.250
Eu  0.250  0.750  0.750
Eu  0.750  0.250  0.750
Eu  0.750  0.750  0.250
Ag  0.000  0.000  0.500
Ag  0.000  0.500  0.000
Ag  0.500  0.000  0.000
Ag  0.500  0.500  0.500

Calculated values
**Total moment**: 7.33 μB per formula unit
**Formation energy from the elements**: 0.05 eV/atom
**V**: 476.5 Å³/cell
**ρ**: 5.96 g cm⁻³
**Space-group type**: No. 216

***

Here is a geometry-optimized Te2MoBr structure from Alexandria via LeMat-Bulk. Energies are from PBE.

abc: 3.105 3.105 38.410
angles: 90.00 90.00 120.00
Atoms (fractional coordinates):
Te  0.000  0.000  0.071
Te  0.000  0.000  0.929
Te  0.333  0.667  0.595
Te  0.333  0.667  0.738
Te  0.667  0.333  0.262
Te  0.667  0.333  0.405
Mo  0.000  0.000  0.000
Mo  0.333  0.667  0.667
Mo  0.667  0.333  0.333
Br  0.000  0.000  0.500
Br  0.333  0.667  0.167
Br  0.667  0.333  0.833

Calculated values
**Total moment**: 0.00 μB per formula unit
**Formation energy from raw total energies**: 633.9 meV per atom
**V**: 320.6 Å³/cell
**Relative energy among the computed polymorphs**: 717.9 meV/atom
**ρ**: 6.70 g cm⁻³
**Space-group type**: No. 166

***

Here is a geometry-optimized Nd2HoTmS4 structure from Alexandria via LeMat-Bulk. Energies are from PBE.

abc: 6.798 3.902 7.032
angles: 90.00 108.62 90.00
Atoms (fractional coordinates):
Nd  0.000  0.000  0.000
Nd  0.500  0.500  0.000
Ho  0.000  0.500  0.500
Tm  0.500  0.000  0.500
S  0.245  0.000  0.730
S  0.259  0.500  0.271
S  0.741  0.500  0.729
S  0.755  0.000  0.270

Calculated values
**Total moment**: 0.00 μB per formula unit
**Formation energy from raw total energies**: -1997.1 meV per atom
**V**: 176.8 Å³/cell
**ρ**: 7.05 g cm⁻³
**Space-group type**: No. 10

***

Here is a geometry-optimized RbAcIn2 structure from Alexandria via LeMat-Bulk. Energies are from PBE.

abc: 4.164 4.164 9.073
angles: 90.00 90.00 90.00
Atoms (fractional coordinates):
Rb  0.000  0.000  0.000
Ac  0.000  0.000  0.500
In  0.500  0.500  0.293
In  0.500  0.500  0.707

Calculated values
**Total moment**: 0.00 μB per formula unit
**Formation energy from the elements**: -0.19 eV/atom
**V**: 157.3 Å³/cell
**Relative energy among the computed polymorphs**: 0.0 meV/atom
**ρ**: 5.72 g cm⁻³
**Space-group type**: No. 123